Compound: MnBrO2
Source: Alexandria via LeMat-Bulk
Functional: GGA+U
Structure: relaxed

a b c (Å): 8.6267 8.6267 8.6267
angles (deg): 19.95 19.95 19.95
Closest atoms and distances in Å follow each position.
Element x y z (fractional)
O: 0.0648 0.0648 0.0648  1 Mn 1.64
O: 0.9352 0.9352 0.9352  1 Mn 1.64
Mn: 0.0000 0.0000 0.0000  2 O 1.64
Br: 0.5000 0.5000 0.5000  6 Br 2.99, 6 O 3.11

## Properties
E_tot, eV/f.u.: -17.3
Distance to the lowest polymorph of the same formula, eV per atom: 1.280